No. 1
# V5IrW2, optimized geometry, DFT PBE-GGA
data_V5IrW2
_chemical_formula_sum 'V10 Ir2 W4'
_cell_length_a 6.083
_cell_length_b 6.083
_cell_length_c 6.102
_cell_angle_alpha 90.00
_cell_angle_beta 90.00
_cell_angle_gamma 90.00
_space_group_name_H-M_alt 'I 4/m m m'
_space_group_IT_number 139
_space_group_name_Hall '-I 4 2'
loop_
_atom_site_label
_atom_site_type_symbol
_atom_site_fract_x
_atom_site_fract_y
_atom_site_fract_z
_atom_site_occupancy
V1 V 0.000 0.000 0.000 1
V2 V 0.250 0.250 0.250 1
Ir1 Ir 0.000 0.000 0.500 1
W1 W 0.000 0.500 0.000 1
# Magnetization in μB/f.u.: 0.0
# Formation enthalpy at 0 K in eV/atom: -0.262

No. 2
# Mn2MoRu, optimized geometry, DFT PBE-GGA
data_Mn2MoRu
_chemical_formula_sum 'Mn8 Mo4 Ru4'
_cell_length_a 3.554
_cell_length_b 3.554
_cell_length_c 18.276
_cell_angle_alpha 90.00
_cell_angle_beta 90.00
_cell_angle_gamma 90.00
_space_group_name_H-M_alt 'I -4 2 d'
_space_group_IT_number 122
_space_group_name_Hall 'I -4 2bw'
loop_
_atom_site_label
_atom_site_type_symbol
_atom_site_fract_x
_atom_site_fract_y
_atom_site_fract_z
_atom_site_occupancy
Mn1 Mn 0.176 0.250 0.125 1
Mo1 Mo 0.000 0.000 0.500 1
Ru1 Ru 0.000 0.000 0.000 1
# Magnetization in μB/f.u.: 0.0
# Formation enthalpy at 0 K in eV/atom: 0.761

No. 3
# Pm3Nd3Dy5, optimized geometry, DFT PBE-GGA
data_Pm3Nd3Dy5
_chemical_formula_sum 'Pm3 Nd3 Dy5'
_cell_length_a 9.6948
_cell_length_b 9.6948
_cell_length_c 5.5580
_cell_angle_alpha 90.00
_cell_angle_beta 90.00
_cell_angle_gamma 120.00
_space_group_name_H-M_alt 'P -6 2 m'
_space_group_IT_number 189
_space_group_name_Hall 'P -6 -2'
loop_
_atom_site_label
_atom_site_type_symbol
_atom_site_fract_x
_atom_site_fract_y
_atom_site_fract_z
_atom_site_occupancy
Pm1 Pm 0.0000 0.4315 0.0000 1
Nd1 Nd 0.0000 0.6342 0.5000 1
Dy1 Dy 0.0000 0.2694 0.5000 1
Dy2 Dy 0.3333 0.6667 0.5000 1
# Magnetization in μB/f.u.: 0.0
# Formation enthalpy at 0 K in eV/atom: 0.764

No. 4
# BaMo2Pb, optimized geometry, DFT PBE-GGA
data_BaMo2Pb
_chemical_formula_sum 'Ba3 Mo6 Pb3'
_cell_length_a 3.1757
_cell_length_b 3.1757
_cell_length_c 31.9001
_cell_angle_alpha 90.00
_cell_angle_beta 90.00
_cell_angle_gamma 120.00
_space_group_name_H-M_alt 'R -3 m'
_space_group_IT_number 166
_space_group_name_Hall '-R 3 2"'
loop_
_atom_site_label
_atom_site_type_symbol
_atom_site_fract_x
_atom_site_fract_y
_atom_site_fract_z
_atom_site_occupancy
Ba1 Ba 0.0000 0.0000 0.0000 1
Mo1 Mo 0.0000 0.0000 0.2391 1
Pb1 Pb 0.0000 0.0000 0.5000 1
# Magnetization in μB/f.u.: 0.2
# Formation enthalpy at 0 K in eV/atom: 1.313

No. 5
# LaNdEr, optimized geometry, DFT PBE-GGA
data_LaNdEr
_chemical_formula_sum 'La2 Nd2 Er2'
_cell_length_a 11.481
_cell_length_b 5.150
_cell_length_c 3.664
_cell_angle_alpha 90.00
_cell_angle_beta 108.54
_cell_angle_gamma 90.00
_space_group_name_H-M_alt 'C 1 m 1'
_space_group_IT_number 8
loop_
_space_group_symop_operation_xyz
'x,y,z'
'x,-y,z'
'x+1/2,y+1/2,z'
'x+1/2,-y+1/2,z'
loop_
_atom_site_label
_atom_site_type_symbol
_atom_site_fract_x
_atom_site_fract_y
_atom_site_fract_z
_atom_site_occupancy
La1 La 0.000 0.000 0.000 1
Nd1 Nd 0.332 0.000 0.332 1
Er1 Er 0.168 0.500 0.668 1
# Excess energy over the best structure of this formula in the dataset in meV per atom: 0.0
# Magnetization in μB/f.u.: 0.0
# Formation enthalpy at 0 K in eV/atom: 0.020

No. 6
# Na4CdBr6, optimized geometry, DFT PBE-GGA
data_Na4CdBr6
_chemical_formula_sum 'Na16 Cd4 Br24'
_cell_length_a 14.000
_cell_length_b 8.184
_cell_length_c 14.188
_cell_angle_alpha 90.00
_cell_angle_beta 111.62
_cell_angle_gamma 90.00
_space_group_name_H-M_alt 'C 1 c 1'
_space_group_IT_number 9
loop_
_space_group_symop_operation_xyz
'x,y,z'
'x,-y,z+1/2'
'x+1/2,y+1/2,z'
'x+1/2,-y+1/2,z+1/2'
loop_
_atom_site_label
_atom_site_type_symbol
_atom_site_fract_x
_atom_site_fract_y
_atom_site_fract_z
_atom_site_occupancy
Na1 Na 0.000 0.110 0.000 1
Na2 Na 0.120 0.387 0.455 1
Na3 Na 0.259 0.160 0.831 1
Na4 Na 0.453 0.114 0.166 1
Cd1 Cd 0.207 0.296 0.235 1
Br1 Br 0.008 0.270 0.196 1
Br2 Br 0.080 0.288 0.867 1
Br3 Br 0.240 0.036 0.142 1
Br4 Br 0.249 0.424 0.675 1
Br5 Br 0.294 0.216 0.427 1
Br6 Br 0.449 0.268 0.985 1
# Formation energy (no corrections) in eV per atom: -1.32
# Magnetization in μB/f.u.: 0.0

No. 7
# NaPmS2, optimized geometry, DFT PBE-GGA
data_NaPmS2
_chemical_formula_sum 'Na1 Pm1 S2'
_cell_length_a 4.862
_cell_length_b 4.862
_cell_length_c 3.519
_cell_angle_alpha 90.00
_cell_angle_beta 90.00
_cell_angle_gamma 90.00
_space_group_name_H-M_alt 'P 4/m m m'
_space_group_IT_number 123
_space_group_name_Hall '-P 4 2'
loop_
_atom_site_label
_atom_site_type_symbol
_atom_site_fract_x
_atom_site_fract_y
_atom_site_fract_z
_atom_site_occupancy
Na1 Na 0.000 0.000 0.000 1
Pm1 Pm 0.500 0.500 0.000 1
S1 S 0.000 0.500 0.500 1
# Excess energy over the best structure of this formula in the dataset in meV per atom: 356.5
# Formation energy (no corrections) in eV per atom: -1.45
# Magnetization in μB/f.u.: 0.0

No. 8
# Mg4Ta2O, optimized geometry, DFT PBE-GGA
data_Mg4Ta2O
_chemical_formula_sum 'Mg8 Ta4 O2'
_cell_length_a 3.828
_cell_length_b 3.828
_cell_length_c 17.487
_cell_angle_alpha 90.00
_cell_angle_beta 90.00
_cell_angle_gamma 90.00
_space_group_name_H-M_alt 'I 4/m m m'
_space_group_IT_number 139
_space_group_name_Hall '-I 4 2'
loop_
_atom_site_label
_atom_site_type_symbol
_atom_site_fract_x
_atom_site_fract_y
_atom_site_fract_z
_atom_site_occupancy
Mg1 Mg 0.000 0.000 0.131 1
Mg2 Mg 0.000 0.500 0.000 1
Ta1 Ta 0.000 0.000 0.287 1
O1 O 0.000 0.000 0.000 1
# Formation energy (no corrections) in eV per atom: -0.16
# Magnetization in μB/f.u.: 0.0